Record 1
An optimized crystal structure of CeBeSi2Os2, computed with PBE.

Electronic total energy   -0.558 Ry per atom
Total magnetization   0.62 μB/cell
SG   No. 123
V   95.1 Å³/cell

The structure in POSCAR format:
```
CeBeSi2Os2
1.0
4.242 0.000 0.000
0.000 4.242 0.000
0.000 0.000 5.283
Ce Be Si Os
1 1 2 2
Direct
0.000 0.000 0.000
0.000 0.000 0.500
0.500 0.500 0.234
0.500 0.500 0.766
0.000 0.500 0.500
0.500 0.000 0.500
```


Record 2
An optimized crystal structure of CeBe2P2, computed with PBE.

Total magnetization   0.44 μB/cell
SG   No. 166
V   95.4 Å³/cell
Energy relative to the elements   -0.572 eV per atom

The structure in POSCAR format:
```
CeBe2P2
1.0
1.847 1.066 8.077
-1.847 1.066 8.077
0.000 -2.133 8.077
Ce Be P
1 2 2
Direct
0.000 0.000 0.000
0.244 0.244 0.244
0.756 0.756 0.756
0.418 0.418 0.418
0.582 0.582 0.582
```


Record 3
An optimized crystal structure of CeBe3P3, computed with PBE.

Energy relative to the lowest polymorph listed for this composition   0 meV per atom
Total magnetization   1.73 μB/cell
SG   No. 176
V   246.1 Å³/cell
Energy relative to the elements   -0.576 eV per atom

The structure in POSCAR format:
```
CeBe3P3
1.0
8.677 0.000 0.000
-4.339 7.515 0.000
0.000 0.000 3.774
Ce Be P
2 6 6
Direct
0.333 0.667 0.250
0.667 0.333 0.750
0.053 0.400 0.750
0.347 0.947 0.750
0.400 0.347 0.250
0.600 0.653 0.750
0.653 0.053 0.250
0.947 0.600 0.250
0.090 0.688 0.750
0.312 0.403 0.750
0.403 0.090 0.250
0.597 0.910 0.750
0.688 0.597 0.250
0.910 0.312 0.250
```


Record 4
An optimized crystal structure of CeBe2P2, computed with PBE.

Total magnetization   2.34 μB/cell
SG   No. 194
V   161.2 Å³/cell
Energy relative to the elements   -0.714 eV per atom

The structure in POSCAR format:
```
CeBe2P2
1.0
3.716 0.000 0.000
-1.858 3.218 0.000
0.000 0.000 13.480
Ce Be P
2 4 4
Direct
0.000 0.000 0.250
0.000 0.000 0.750
0.333 0.667 0.065
0.333 0.667 0.435
0.667 0.333 0.565
0.667 0.333 0.935
0.333 0.667 0.603
0.333 0.667 0.897
0.667 0.333 0.103
0.667 0.333 0.397
```


Record 5
An optimized crystal structure of CeBe3P3, computed with PBE.

Energy relative to the lowest polymorph listed for this composition   128 meV per atom
Total magnetization   2.57 μB/cell
SG   No. 223
V   223.2 Å³/cell
Energy relative to the elements   -0.448 eV per atom

The structure in POSCAR format:
```
CeBe3P3
1.0
6.066 0.000 0.000
0.000 6.066 0.000
0.000 0.000 6.066
Ce Be P
2 6 6
Direct
0.000 0.000 0.000
0.500 0.500 0.500
0.000 0.250 0.500
0.000 0.750 0.500
0.250 0.500 0.000
0.500 0.000 0.250
0.500 0.000 0.750
0.750 0.500 0.000
0.000 0.500 0.250
0.000 0.500 0.750
0.250 0.000 0.500
0.500 0.250 0.000
0.500 0.750 0.000
0.750 0.000 0.500
```


Record 6
An optimized crystal structure of CeBeP2, computed with PBE.

Total magnetization   0.00 μB/cell
SG   No. 166
V   108.9 Å³/cell
Energy relative to the elements   -0.438 eV per atom

The structure in POSCAR format:
```
CeBeP2
1.0
2.176 1.257 6.634
-2.176 1.257 6.634
0.000 -2.513 6.634
Ce Be P
1 1 2
Direct
0.000 0.000 0.000
0.500 0.500 0.500
0.400 0.400 0.400
0.600 0.600 0.600
```


Record 7
An optimized crystal structure of Ce2BeP, computed with PBE.

Total magnetization   2.53 μB/cell
SG   No. 166
V   114.4 Å³/cell
Energy relative to the elements   0.152 eV per atom

The structure in POSCAR format:
```
Ce2BeP
1.0
1.867 1.078 9.481
-1.867 1.078 9.481
0.000 -2.155 9.481
Ce Be P
2 1 1
Direct
0.106 0.106 0.106
0.894 0.894 0.894
0.000 0.000 0.000
0.500 0.500 0.500
```


Record 8
An optimized crystal structure of Ce2BeP3, computed with PBE.

Total magnetization   3.19 μB/cell
SG   No. 62
V   471.1 Å³/cell
Energy relative to the elements   -1.133 eV per atom

The structure in POSCAR format:
```
Ce2BeP3
1.0
7.752 0.000 0.000
0.000 3.938 0.000
0.000 0.000 15.435
Ce Be P
8 4 12
Direct
0.104 0.250 0.214
0.249 0.750 0.460
0.251 0.250 0.960
0.396 0.750 0.714
0.604 0.250 0.286
0.749 0.750 0.040
0.751 0.250 0.540
0.896 0.750 0.786
0.121 0.250 0.636
0.379 0.750 0.136
0.621 0.250 0.864
0.879 0.750 0.364
0.000 0.250 0.396
0.000 0.750 0.604
0.122 0.750 0.074
0.165 0.250 0.777
0.335 0.750 0.277
0.378 0.250 0.574
0.500 0.250 0.104
0.500 0.750 0.896
0.622 0.750 0.426
0.665 0.250 0.723
0.835 0.750 0.223
0.878 0.250 0.926
```


Record 9
An optimized crystal structure of CeBePPt, computed with PBE.

Total magnetization   1.43 μB/cell
SG   No. 129
V   142.4 Å³/cell
Energy relative to the elements   -1.070 eV per atom

The structure in POSCAR format:
```
CeBePPt
1.0
4.054 0.000 0.000
0.000 4.054 0.000
0.000 0.000 8.669
Ce Be P Pt
2 2 2 2
Direct
0.250 0.250 0.192
0.750 0.750 0.808
0.250 0.250 0.624
0.750 0.750 0.376
0.250 0.250 0.866
0.750 0.750 0.134
0.250 0.750 0.500
0.750 0.250 0.500
```


Record 10
An optimized crystal structure of Ce2BePPt6, computed with PBE.

Total magnetization   1.20 μB/cell
SG   No. 225
V   185.7 Å³/cell
Energy relative to the elements   -0.677 eV per atom

The structure in POSCAR format:
```
Ce2BePPt6
1.0
0.000 4.528 4.528
4.528 0.000 4.528
4.528 4.528 0.000
Ce Be P Pt
2 1 1 6
Direct
0.250 0.250 0.250
0.750 0.750 0.750
0.000 0.000 0.000
0.500 0.500 0.500
0.244 0.244 0.756
0.244 0.756 0.244
0.244 0.756 0.756
0.756 0.244 0.244
0.756 0.244 0.756
0.756 0.756 0.244
```


Record 11
An optimized crystal structure of CePu2BeP4, computed with PBE.

Total magnetization   19.88 μB/cell
SG   No. 63
V   331.3 Å³/cell
Energy relative to the elements   -0.983 eV per atom

The structure in POSCAR format:
```
CePu2BeP4
1.0
1.953 -6.499 0.000
1.953 6.499 0.000
0.000 0.000 13.049
Ce Pu Be P
2 4 2 8
Direct
0.107 0.893 0.750
0.893 0.107 0.250
0.365 0.635 0.558
0.365 0.635 0.942
0.635 0.365 0.058
0.635 0.365 0.442
0.152 0.848 0.250
0.848 0.152 0.750
0.000 0.000 0.000
0.000 0.000 0.500
0.270 0.730 0.130
0.270 0.730 0.370
0.443 0.557 0.750
0.557 0.443 0.250
0.730 0.270 0.630
0.730 0.270 0.870
```


Record 12
An optimized crystal structure of Ce2BeP3Rh4, computed with PBE.

Total magnetization   0.00 μB/cell
SG   No. 115
V   159.9 Å³/cell
Energy relative to the elements   -1.059 eV per atom

The structure in POSCAR format:
```
Ce2BeP3Rh4
1.0
4.050 0.000 0.000
0.000 4.050 0.000
0.000 0.000 9.749
Ce Be P Rh
2 1 3 4
Direct
0.000 0.500 0.242
0.500 0.000 0.758
0.500 0.500 0.000
0.000 0.000 0.000
0.000 0.500 0.640
0.500 0.000 0.360
0.000 0.000 0.500
0.000 0.500 0.881
0.500 0.000 0.119
0.500 0.500 0.500
```


Computed values of density (unit: g cm⁻³) for the preceding records, in sequence: 10.23, 3.83, 3.51, 4.53, 3.87, 3.22, 4.65, 5.39, 8.75, 13.33, 7.63, 8.24.